(1)
Density functional theory data (PBE) for crystalline Tm2CoSi at its relaxed geometry.

- E: -23.72 eV per cell
- Total magnetic moment: 0.01 μB per formula unit
- Symmetry: Amm2
- Density: 8.88 g cm⁻³

abc: 3.8987 5.4773 5.4773
angles: 42.77 90.00 90.00
Closest atoms and distances in Å follow each position.
Atoms (fractional coordinates):
1 Tm 0.0000 0.0000 0.0000  3 Si 2.89-3.01, 4 Co 2.89
2 Tm 0.5000 0.2828 0.2828  4 Si 2.90, 3 Co 2.93-2.96
3 Co 0.5000 0.5730 0.5730  2 Si 2.37
4 Si 0.0000 0.7045 0.7045  2 Co 2.37

---

(2)
Density functional theory data (PBE) for crystalline Tm2CoSi2 at its relaxed geometry.

- E: -61.69 eV per cell
- Total magnetic moment: 0.05 μB per formula unit
- Symmetry: C2/m
- Density: 8.34 g cm⁻³

abc: 5.5087 5.5087 9.8449
angles: 116.71 116.71 43.62
Closest atoms and distances in Å follow each position.
Atoms (fractional coordinates):
1 Tm 0.0006 0.0006 0.3288  6 Si 2.84-3.02, 4 Co 2.90-3.05
2 Tm 0.1862 0.1862 0.1073  6 Si 2.82-3.04
3 Tm 0.8138 0.8138 0.8927  6 Si 2.82-3.04
4 Tm 0.9994 0.9994 0.6712  6 Si 2.84-3.02, 4 Co 2.90-3.05
5 Co 0.2734 0.2734 0.6250  4 Si 2.33-2.47
6 Co 0.7266 0.7266 0.3750  4 Si 2.33-2.47
7 Si 0.3512 0.3512 0.4338  3 Co 2.33-2.37
8 Si 0.4917 0.4917 0.1251  1 Co 2.47, 1 Si 2.55
9 Si 0.5083 0.5083 0.8749  1 Co 2.47, 1 Si 2.55
10 Si 0.6488 0.6488 0.5662  3 Co 2.33-2.37

---

(3)
Density functional theory data (PBE) for crystalline TmCoSi at its relaxed geometry.

- E: -15.45 eV per cell
- Total magnetic moment: 1.01 μB per formula unit
- Symmetry: F-43m
- Density: 6.80 g cm⁻³

abc: 4.4554 4.4554 4.4554
angles: 60.00 60.00 60.00
Closest atoms and distances in Å follow each position.
Atoms (fractional coordinates):
1 Tm 0.0000 0.0000 0.0000  4 Co 2.73, 4 Si 2.73
2 Co 0.7500 0.7500 0.7500  4 Tm 2.73
3 Si 0.2500 0.2500 0.2500  4 Tm 2.73

---

(4)
Density functional theory data (PBE) for crystalline TmCoSi at its relaxed geometry.

- E: -56.71 eV per cell
- Total magnetic moment: 0.00 μB per formula unit
- Symmetry: P-62m
- Density: 8.73 g cm⁻³

abc: 6.5970 6.5970 3.8764
angles: 90.00 90.00 120.00
Closest atoms and distances in Å follow each position.
Atoms (fractional coordinates):
1 Tm 0.0000 0.5797 0.0000  5 Si 2.77, 6 Co 3.02-3.09
2 Tm 0.4203 0.4203 0.0000  5 Si 2.77, 6 Co 3.02-3.09
3 Tm 0.5797 0.0000 0.0000  5 Si 2.77, 6 Co 3.02-3.09
4 Co 0.0000 0.2293 0.5000  4 Si 2.46-2.61, 2 Co 2.62
5 Co 0.2293 0.0000 0.5000  4 Si 2.46-2.61, 2 Co 2.62
6 Co 0.7707 0.7707 0.5000  4 Si 2.46-2.61, 2 Co 2.62
7 Si 0.0000 0.0000 0.0000  6 Co 2.46
8 Si 0.3333 0.6667 0.5000  3 Co 2.61, 6 Tm 2.77
9 Si 0.6667 0.3333 0.5000  3 Co 2.61, 6 Tm 2.77

---

(5)
Density functional theory data (PBE) for crystalline TmCoSi at its relaxed geometry.

- E: -77.17 eV per cell
- Total magnetic moment: 0.00 μB per formula unit
- Symmetry: Pnma
- Density: 8.82 g cm⁻³

abc: 6.7312 4.1128 6.9653
angles: 90.00 90.00 90.00
Closest atoms and distances in Å follow each position.
Atoms (fractional coordinates):
1 Tm 0.0118 0.2500 0.1915  4 Co 2.82-2.89, 6 Si 2.87-3.14
2 Tm 0.4882 0.7500 0.6915  4 Co 2.82-2.89, 6 Si 2.87-3.14
3 Tm 0.5118 0.2500 0.3085  4 Co 2.82-2.89, 6 Si 2.87-3.14
4 Tm 0.9882 0.7500 0.8085  4 Co 2.82-2.89, 6 Si 2.87-3.14
5 Co 0.1506 0.7500 0.4343  4 Si 2.36-2.52
6 Co 0.3494 0.2500 0.9343  4 Si 2.36-2.52
7 Co 0.6506 0.7500 0.0657  4 Si 2.36-2.52
8 Co 0.8494 0.2500 0.5657  4 Si 2.36-2.52
9 Si 0.1984 0.2500 0.6039  4 Co 2.36-2.52
10 Si 0.3016 0.7500 0.1039  4 Co 2.36-2.52
11 Si 0.6984 0.2500 0.8961  4 Co 2.36-2.52
12 Si 0.8016 0.7500 0.3961  4 Co 2.36-2.52

---

(6)
Density functional theory data (PBE) for crystalline TmCoSi at its relaxed geometry.

- E: -56.75 eV per cell
- Total magnetic moment: 0.00 μB per formula unit
- Symmetry: P-62m
- Density: 8.97 g cm⁻³

abc: 6.5891 6.5891 3.7825
angles: 90.00 90.00 120.00
Closest atoms and distances in Å follow each position.
Atoms (fractional coordinates):
1 Tm 0.0000 0.5818 0.0000  5 Co 2.74-2.76, 6 Si 2.95-3.05
2 Tm 0.4182 0.4182 0.0000  5 Co 2.74-2.76, 6 Si 2.95-3.05
3 Tm 0.5818 0.0000 0.0000  5 Co 2.74-2.76, 6 Si 2.95-3.05
4 Co 0.0000 0.0000 0.0000  6 Si 2.46
5 Co 0.3333 0.6667 0.5000  3 Si 2.57, 6 Tm 2.74
6 Co 0.6667 0.3333 0.5000  3 Si 2.57, 6 Tm 2.74
7 Si 0.0000 0.2377 0.5000  4 Co 2.46-2.57, 2 Si 2.71
8 Si 0.2377 0.0000 0.5000  4 Co 2.46-2.57, 2 Si 2.71
9 Si 0.7623 0.7623 0.5000  4 Co 2.46-2.57, 2 Si 2.71

---

(7)
Density functional theory data (PBE) for crystalline TmCoSi at its relaxed geometry.

- E: -18.08 eV per cell
- Total magnetic moment: 0.65 μB per formula unit
- Symmetry: F-43m
- Density: 7.89 g cm⁻³

abc: 4.2392 4.2392 4.2392
angles: 60.00 60.00 60.00
Closest atoms and distances in Å follow each position.
Atoms (fractional coordinates):
1 Tm 0.0000 0.0000 0.0000  4 Co 2.60
2 Co 0.7500 0.7500 0.7500  4 Si 2.60, 4 Tm 2.60
3 Si 0.5000 0.5000 0.5000  4 Co 2.60

---

(8)
Density functional theory data (PBE) for crystalline TmCo2Si2 at its relaxed geometry.

- E: -33.69 eV per cell
- Total magnetic moment: 0.00 μB per formula unit
- Symmetry: I4/mmm
- Density: 7.97 g cm⁻³

abc: 5.5493 5.5493 5.5493
angles: 139.48 139.48 58.65
Closest atoms and distances in Å follow each position.
Atoms (fractional coordinates):
1 Tm 0.0000 0.0000 0.0000  8 Si 2.98, 8 Co 3.09
2 Co 0.2500 0.7500 0.5000  4 Si 2.26
3 Co 0.7500 0.2500 0.5000  4 Si 2.26
4 Si 0.3733 0.3733 0.0000  4 Co 2.26, 1 Si 2.45
5 Si 0.6267 0.6267 0.0000  4 Co 2.26, 1 Si 2.45

---

(9)
Density functional theory data (PBE) for crystalline CoSi2W at its relaxed geometry.

- E: -29.77 eV per cell
- Total magnetic moment: 0.04 μB per formula unit
- Symmetry: F-43m
- Density: 9.47 g cm⁻³

abc: 4.2010 4.2010 4.2010
angles: 60.00 60.00 60.00
Closest atoms and distances in Å follow each position.
Atoms (fractional coordinates):
1 Co 0.0000 0.0000 0.0000  4 Si 2.57, 4 W 2.57
2 Si 0.2500 0.2500 0.2500  4 Si 2.57, 4 Co 2.57
3 Si 0.5000 0.5000 0.5000  4 W 2.57, 4 Si 2.57
4 W 0.7500 0.7500 0.7500  4 Si 2.57, 4 Co 2.57

---

(10)
Density functional theory data (PBE) for crystalline CoSiW at its relaxed geometry.

- E: -106.67 eV per cell
- Total magnetic moment: 0.00 μB per formula unit
- Symmetry: Pnma
- Density: 11.87 g cm⁻³

abc: 6.0516 3.6260 6.9061
angles: 90.00 90.00 90.00
Closest atoms and distances in Å follow each position.
Atoms (fractional coordinates):
1 Co 0.1479 0.2500 0.0613  4 Si 2.27-2.31
2 Co 0.3521 0.7500 0.5613  4 Si 2.27-2.31
3 Co 0.6479 0.2500 0.4387  4 Si 2.27-2.31
4 Co 0.8521 0.7500 0.9387  4 Si 2.27-2.31
5 Si 0.2219 0.7500 0.8754  4 Co 2.27-2.31, 1 W 2.54
6 Si 0.2781 0.2500 0.3754  4 Co 2.27-2.31, 1 W 2.54
7 Si 0.7219 0.7500 0.6246  4 Co 2.27-2.31, 1 W 2.54
8 Si 0.7781 0.2500 0.1246  4 Co 2.27-2.31, 1 W 2.54
9 W 0.0253 0.2500 0.6687  5 Si 2.54-2.60, 6 Co 2.78-2.81
10 W 0.4747 0.7500 0.1687  5 Si 2.54-2.60, 6 Co 2.78-2.81
11 W 0.5253 0.2500 0.8313  5 Si 2.54-2.60, 6 Co 2.78-2.81
12 W 0.9747 0.7500 0.3313  5 Si 2.54-2.60, 6 Co 2.78-2.81

---

(11)
Density functional theory data (PBE) for crystalline YCoSiW at its relaxed geometry.

- E: -29.54 eV per cell
- Total magnetic moment: 3.51 μB per formula unit
- Symmetry: F-43m
- E above lowest polymorph: 238 meV/atom
- Density: 8.79 g cm⁻³

abc: 4.5801 4.5801 4.5801
angles: 60.00 60.00 60.00
Closest atoms and distances in Å follow each position.
Atoms (fractional coordinates):
1 Y 0.0000 0.0000 0.0000  4 W 2.80, 4 Si 2.80
2 Co 0.5000 0.5000 0.5000  4 W 2.80, 4 Si 2.80
3 Si 0.2500 0.2500 0.2500  4 Co 2.80, 4 Y 2.80
4 W 0.7500 0.7500 0.7500  4 Co 2.80, 4 Y 2.80

---

(12)
Density functional theory data (PBE) for crystalline YCoSiW at its relaxed geometry.

- E: -30.49 eV per cell
- Total magnetic moment: 0.04 μB per formula unit
- Symmetry: F-43m
- E above lowest polymorph: 0 meV/atom
- Density: 9.41 g cm⁻³

abc: 4.4778 4.4778 4.4778
angles: 60.00 60.00 60.00
Closest atoms and distances in Å follow each position.
Atoms (fractional coordinates):
1 Y 0.0000 0.0000 0.0000  4 Co 2.74, 4 W 2.74
2 Co 0.7500 0.7500 0.7500  4 Si 2.74, 4 Y 2.74
3 Si 0.5000 0.5000 0.5000  4 Co 2.74, 4 W 2.74
4 W 0.2500 0.2500 0.2500  4 Si 2.74, 4 Y 2.74

---

(13)
Density functional theory data (PBE) for crystalline ZnCoSiW at its relaxed geometry.

- E: -25.09 eV per cell
- Total magnetic moment: 1.19 μB per formula unit
- Symmetry: F-43m
- E above lowest polymorph: 226 meV/atom
- Density: 10.58 g cm⁻³

abc: 4.2104 4.2104 4.2104
angles: 60.00 60.00 60.00
Closest atoms and distances in Å follow each position.
Atoms (fractional coordinates):
1 Zn 0.0000 0.0000 0.0000  4 W 2.58, 4 Si 2.58
2 Co 0.5000 0.5000 0.5000  4 W 2.58, 4 Si 2.58
3 Si 0.2500 0.2500 0.2500  4 Co 2.58, 4 Zn 2.58
4 W 0.7500 0.7500 0.7500  4 Co 2.58, 4 Zn 2.58